A relaxed structure of TeRhBr2, computed with PBE-GGA.

POSCAR file:
```
TeRhBr2
1.0
-3.498 1.300 -3.718
-2.733 -4.381 1.039
-1.799 1.662 2.274
Br Rh Te
2 1 1
direct
0.500 0.500 0.000
0.000 0.000 0.000
0.500 0.000 0.500
0.000 0.500 0.500
```

Properties
energy	-10.92	eV/f.u.
crystal system	tetragonal
calculated volume	93	Å³/f.u.
magnetic moment	1.71	Bohr magnetons per cell
symmetry	P4/mmm

A relaxed structure of SrSbTeI2, computed with PBE-GGA.

POSCAR file:
```
SrSbTeI2
1.0
6.031 0.000 0.000
0.000 6.031 0.000
0.000 0.000 5.922
I Sr Sb Te
2 1 1 1
direct
0.000 0.500 0.000
0.500 0.000 0.000
0.500 0.500 0.500
0.000 0.000 0.500
0.000 0.000 0.000
```

Properties
excess energy over the best structure of this formula in the dataset	314.1	meV per atom
energy	-12.95	eV/f.u.
crystal system	tetragonal
calculated volume	215	Å³/f.u.
magnetic moment	0.00	Bohr magnetons per cell
symmetry	P4/mmm

A relaxed structure of PuTlClF6, computed with PBE-GGA.

POSCAR file:
```
PuTlClF6
1.0
5.928 0.000 0.000
0.000 5.659 0.000
0.000 -2.830 4.901
F Pu Tl Cl
6 1 1 1
direct
0.756 0.672 0.828
0.756 0.156 0.328
0.244 0.156 0.828
0.244 0.672 0.844
0.244 0.172 0.328
0.756 0.172 0.844
0.500 0.000 0.000
0.000 0.333 0.667
0.500 0.667 0.333
```

Properties
energy	-51.17	eV/f.u.
crystal system	trigonal
calculated volume	164	Å³/f.u.
magnetic moment	3.97	Bohr magnetons per cell
symmetry	P312

A relaxed structure of CaPm4Pb4, computed with PBE-GGA.

POSCAR file:
```
CaPm4Pb4
1.0
-3.638 4.966 1.738
-8.243 -4.944 -3.127
-1.085 -4.018 9.212
Pm Pb Ca
8 8 2
direct
0.114 0.166 0.598
0.114 0.834 0.402
0.886 0.598 0.834
0.386 0.666 0.098
0.886 0.402 0.166
0.614 0.902 0.666
0.614 0.098 0.334
0.386 0.334 0.902
0.609 0.221 0.627
0.891 0.279 0.873
0.891 0.721 0.127
0.609 0.779 0.373
0.109 0.127 0.279
0.109 0.873 0.721
0.391 0.373 0.221
0.391 0.627 0.779
0.500 0.500 0.500
0.000 0.000 0.000
```

Properties
formation energy	-321	meV per atom
energy	-38.73	eV/f.u.
crystal system	tetragonal
calculated volume	327	Å³/f.u.
magnetic moment	0.00	Bohr magnetons per cell
symmetry	P4_2/n

A relaxed structure of SnGeI2O, computed with PBE-GGA.

POSCAR file:
```
SnGeI2O
1.0
6.051 0.000 0.000
0.000 6.051 0.000
0.000 0.000 3.799
Sn I O Ge
1 2 1 1
direct
0.500 0.500 0.500
0.000 0.500 0.000
0.500 0.000 0.000
0.000 0.000 0.500
0.000 0.000 0.000
```

Properties
excess energy over the best structure of this formula in the dataset	0.0	meV per atom
energy	-18.06	eV/f.u.
crystal system	tetragonal
calculated volume	139	Å³/f.u.
magnetic moment	0.00	Bohr magnetons per cell
symmetry	P4/mmm

A relaxed structure of Si2SbIr, computed with PBE-GGA.

POSCAR file:
```
Si2SbIr
1.0
-3.377 -1.688 -1.461
3.896 -0.826 -3.228
1.162 -3.870 0.213
Si Sb Ir
2 1 1
direct
0.000 0.000 0.000
0.500 0.000 0.500
0.500 0.500 0.000
0.000 0.500 0.500
```

Properties
energy	-22.60	eV/f.u.
crystal system	orthorhombic
calculated volume	71	Å³/f.u.
magnetic moment	0.00	Bohr magnetons per cell
symmetry	Fmmm

A relaxed structure of Cs2KPa2O7, computed with PBE-GGA.

POSCAR file:
```
Cs2KPa2O7
1.0
4.431 -0.002 0.011
0.003 4.431 0.011
2.185 2.183 12.056
O Cs Pa K
7 2 2 1
direct
0.500 0.500 0.000
0.912 0.412 0.176
0.588 0.088 0.824
0.325 0.325 0.349
0.412 0.912 0.176
0.088 0.588 0.824
0.675 0.675 0.651
0.809 0.809 0.381
0.191 0.191 0.619
0.590 0.590 0.819
0.410 0.410 0.181
0.000 0.000 0.000
```

Properties
energy	-89.46	eV/f.u.
crystal system	tetragonal
calculated volume	236	Å³/f.u.
magnetic moment	0.00	Bohr magnetons per cell
symmetry	I4/mmm

A relaxed structure of LiCa2Sm, computed with PBE-GGA.

POSCAR file:
```
LiCa2Sm
1.0
3.734 -0.001 0.000
1.866 3.234 0.000
1.866 1.077 11.562
Sm Ca Li
1 2 1
direct
0.500 0.500 0.499
0.079 0.079 0.763
0.254 0.254 0.237
0.666 0.666 0.001
```

Properties
excess energy over the best structure of this formula in the dataset	15.3	meV per atom
formation energy	103	meV per atom
energy	-10.22	eV/f.u.
crystal system	trigonal
calculated volume	140	Å³/f.u.
magnetic moment	0.08	Bohr magnetons per cell
symmetry	R3m

A relaxed structure of KTlS2, computed with PBE-GGA.

POSCAR file:
```
KTlS2
1.0
15.064 0.000 -1.105
4.235 4.762 -2.019
-4.235 4.762 2.019
S Tl K
4 2 2
direct
0.687 0.979 0.217
0.822 0.329 0.974
0.187 0.283 0.521
0.322 0.526 0.171
0.754 0.809 0.941
0.254 0.559 0.691
0.254 0.108 0.143
0.754 0.357 0.392
```

Properties
excess energy over the best structure of this formula in the dataset	14.3	meV per atom
energy	-14.18	eV/f.u.
crystal system	orthorhombic
calculated volume	123	Å³/f.u.
magnetic moment	0.00	Bohr magnetons per cell
symmetry	Fdd2

A relaxed structure of NdHoLuZr, computed with PBE-GGA.

POSCAR file:
```
NdHoLuZr
1.0
5.485 0.000 0.000
2.743 4.750 0.000
2.743 1.583 4.479
Zr Nd Lu Ho
1 1 1 1
direct
0.750 0.750 0.750
0.250 0.250 0.250
0.000 0.000 0.000
0.500 0.500 0.500
```

Properties
formation energy	209	meV per atom
energy	-21.58	eV/f.u.
crystal system	cubic
calculated volume	117	Å³/f.u.
magnetic moment	1.15	Bohr magnetons per cell
symmetry	F-43m

A relaxed structure of ZrReAsC2, computed with PBE-GGA.

POSCAR file:
```
ZrReAsC2
1.0
3.957 0.000 0.000
0.000 5.659 0.000
0.000 0.000 3.957
Zr As C Re
1 1 2 1
direct
0.000 0.500 0.000
0.500 0.500 0.500
0.000 0.000 0.500
0.500 0.000 0.000
0.000 0.000 0.000
```

Properties
formation energy	973	meV per atom
energy	-39.23	eV/f.u.
crystal system	tetragonal
calculated volume	89	Å³/f.u.
magnetic moment	0.00	Bohr magnetons per cell
symmetry	P4/mmm

A relaxed structure of Y2Al2Cl, computed with PBE-GGA.

POSCAR file:
```
Y2Al2Cl
1.0
-1.154 4.287 -5.947
-3.985 -5.420 -3.134
-3.785 1.665 1.935
Al Cl Y
4 2 4
direct
0.375 0.125 0.500
0.625 0.875 0.500
0.125 0.625 0.500
0.875 0.375 0.500
0.500 0.500 0.000
0.000 0.000 0.000
0.330 0.830 0.000
0.670 0.170 0.000
0.830 0.670 0.000
0.170 0.330 0.000
```

Properties
excess energy over the best structure of this formula in the dataset	0.0	meV per atom
energy	-25.53	eV/f.u.
crystal system	tetragonal
calculated volume	126	Å³/f.u.
magnetic moment	0.00	Bohr magnetons per cell
symmetry	P4/mbm

Look up the energy of the tenth one. -21.58 eV/f.u.